No. 1
A plane-wave DFT calculation with PBE-GGA was carried out for crystalline LaTbYTm3 at its relaxed geometry.

abc: 6.577 6.577 11.423
angles: 90.00 90.00 128.28
Atoms (fractional coordinates):
La (0.016, 0.984, 0.750)
La (0.984, 0.016, 0.250)
Tb (0.500, 0.500, 0.000)
Tb (0.500, 0.500, 0.500)
Y (0.325, 0.675, 0.750)
Y (0.675, 0.325, 0.250)
Tm (0.176, 0.824, 0.014)
Tm (0.176, 0.824, 0.486)
Tm (0.341, 0.659, 0.250)
Tm (0.659, 0.341, 0.750)
Tm (0.824, 0.176, 0.514)
Tm (0.824, 0.176, 0.986)

## Properties
Crystal system   orthorhombic
Space-group type   Cmcm (63)
Magnetic moment   0.001 μB per formula unit
Theoretical density   7.65 g cm⁻³
Calculated formation energy   0.115 eV per atom

***

No. 2
A plane-wave DFT calculation with PBE-GGA was carried out for crystalline LaTbYTm2 at its relaxed geometry.

abc: 7.122 7.122 7.229
angles: 90.00 90.00 107.72
Atoms (fractional coordinates):
La (0.232, 0.768, 0.750)
La (0.768, 0.232, 0.250)
Tb (0.217, 0.783, 0.250)
Tb (0.783, 0.217, 0.750)
Y (0.497, 0.503, 0.250)
Y (0.503, 0.497, 0.750)
Tm (0.188, 0.188, 0.000)
Tm (0.188, 0.188, 0.500)
Tm (0.812, 0.812, 0.000)
Tm (0.812, 0.812, 0.500)

## Properties
Crystal system   orthorhombic
Space-group type   Cmcm (63)
Magnetic moment   0.000 μB per formula unit
Theoretical density   6.89 g cm⁻³
Calculated formation energy   0.361 eV per atom

***

No. 3
A plane-wave DFT calculation with PBE-GGA was carried out for crystalline LaTb2Y2Tm2 at its relaxed geometry.

abc: 6.096 6.096 11.802
angles: 107.78 107.78 33.53
Atoms (fractional coordinates):
La (0.000, 0.000, 0.000)
Tb (0.329, 0.329, 0.417)
Tb (0.671, 0.671, 0.583)
Y (0.449, 0.449, 0.725)
Y (0.551, 0.551, 0.275)
Tm (0.224, 0.224, 0.859)
Tm (0.776, 0.776, 0.141)

## Properties
Crystal system   monoclinic
Space-group type   C2/m (12)
Magnetic moment   0.002 μB per formula unit
Theoretical density   7.03 g cm⁻³
Calculated formation energy   0.098 eV per atom

***

No. 4
A plane-wave DFT calculation with PBE-GGA was carried out for crystalline LaTb3YTm at its relaxed geometry.

abc: 8.015 5.087 10.121
angles: 90.00 108.52 90.00
Atoms (fractional coordinates):
La (0.166, 0.250, 0.293)
La (0.834, 0.750, 0.707)
Tb (0.168, 0.250, 0.791)
Tb (0.168, 0.750, 0.041)
Tb (0.170, 0.750, 0.543)
Tb (0.830, 0.250, 0.457)
Tb (0.832, 0.250, 0.959)
Tb (0.832, 0.750, 0.209)
Y (0.497, 0.750, 0.875)
Y (0.503, 0.250, 0.125)
Tm (0.499, 0.250, 0.626)
Tm (0.501, 0.750, 0.374)

## Properties
Crystal system   monoclinic
Space-group type   P2_1/m (11)
Magnetic moment   0.000 μB per formula unit
Theoretical density   7.41 g cm⁻³
Calculated formation energy   0.030 eV per atom

***

No. 5
A plane-wave DFT calculation with PBE-GGA was carried out for crystalline LaTb2Y5Tm at its relaxed geometry.

abc: 9.800 9.800 9.800
angles: 125.87 125.87 80.09
Atoms (fractional coordinates):
La (0.250, 0.250, 0.000)
La (0.750, 0.750, 0.000)
Tb (0.114, 0.614, 0.727)
Tb (0.386, 0.114, 0.500)
Tb (0.614, 0.886, 0.500)
Tb (0.886, 0.386, 0.273)
Y (0.000, 0.000, 0.000)
Y (0.073, 0.162, 0.500)
Y (0.162, 0.662, 0.089)
Y (0.338, 0.427, 0.500)
Y (0.427, 0.927, 0.089)
Y (0.500, 0.500, 0.000)
Y (0.573, 0.073, 0.911)
Y (0.662, 0.573, 0.500)
Y (0.838, 0.338, 0.911)
Y (0.927, 0.838, 0.500)
Tm (0.250, 0.750, 0.500)
Tm (0.750, 0.250, 0.500)

## Properties
Crystal system   tetragonal
Space-group type   I4/mcm (140)
Magnetic moment   0.001 μB per formula unit
Theoretical density   5.96 g cm⁻³
Calculated formation energy   0.270 eV per atom

***

No. 6
A plane-wave DFT calculation with PBE-GGA was carried out for crystalline LaTbY2Tm at its relaxed geometry.

abc: 3.609 5.575 8.657
angles: 90.00 90.00 90.00
Atoms (fractional coordinates):
La (0.000, 0.000, 0.000)
Tb (0.500, 0.500, 0.000)
Y (0.000, 0.500, 0.321)
Y (0.000, 0.500, 0.679)
Tm (0.500, 0.000, 0.500)

## Properties
Crystal system   orthorhombic
Space-group type   Pmmm (47)
Magnetic moment   0.000 μB per formula unit
Theoretical density   6.14 g cm⁻³
Calculated formation energy   0.283 eV per atom

***

No. 7
A plane-wave DFT calculation with PBE-GGA was carried out for crystalline La5TbYTm2 at its relaxed geometry.

abc: 11.218 11.218 10.645
angles: 90.00 90.00 151.69
Atoms (fractional coordinates):
La (0.000, 0.000, 0.000)
La (0.000, 0.000, 0.500)
La (0.123, 0.877, 0.750)
La (0.220, 0.780, 0.441)
La (0.221, 0.779, 0.061)
La (0.500, 0.500, 0.250)
La (0.500, 0.500, 0.750)
La (0.779, 0.221, 0.561)
La (0.780, 0.220, 0.941)
La (0.877, 0.123, 0.250)
Tb (0.288, 0.712, 0.751)
Tb (0.712, 0.288, 0.251)
Y (0.100, 0.900, 0.250)
Y (0.900, 0.100, 0.750)
Tm (0.386, 0.614, 0.502)
Tm (0.387, 0.613, 0.998)
Tm (0.613, 0.387, 0.498)
Tm (0.614, 0.386, 0.002)

## Properties
Crystal system   orthorhombic
Space-group type   Cmc2_1 (36)
Magnetic moment   0.000 μB per formula unit
Theoretical density   6.69 g cm⁻³
Calculated formation energy   0.131 eV per atom

***

No. 8
A plane-wave DFT calculation with PBE-GGA was carried out for crystalline La3TbY6Tm2 at its relaxed geometry.

abc: 6.244 6.244 11.897
angles: 95.02 95.02 120.00
Atoms (fractional coordinates):
La (0.000, 0.000, 0.000)
La (0.333, 0.667, 0.000)
La (0.667, 0.333, 0.000)
Tb (0.500, 0.500, 0.500)
Y (0.085, 0.419, 0.256)
Y (0.247, 0.247, 0.744)
Y (0.419, 0.085, 0.256)
Y (0.581, 0.915, 0.744)
Y (0.753, 0.753, 0.256)
Y (0.915, 0.581, 0.744)
Tm (0.167, 0.833, 0.500)
Tm (0.833, 0.167, 0.500)

## Properties
Crystal system   monoclinic
Space-group type   C2/m (12)
Magnetic moment   0.000 μB per formula unit
Theoretical density   6.08 g cm⁻³
Calculated formation energy   0.024 eV per atom

***

No. 9
A plane-wave DFT calculation with PBE-GGA was carried out for crystalline La2TbY2Tm at its relaxed geometry.

abc: 6.748 17.744 3.385
angles: 90.00 90.00 90.00
Atoms (fractional coordinates):
La (0.243, 0.152, 0.000)
La (0.257, 0.652, 0.500)
La (0.743, 0.348, 0.500)
La (0.757, 0.848, 0.000)
Tb (0.000, 0.000, 0.500)
Tb (0.500, 0.500, 0.000)
Y (0.249, 0.828, 0.000)
Y (0.251, 0.328, 0.500)
Y (0.749, 0.672, 0.500)
Y (0.751, 0.172, 0.000)
Tm (0.000, 0.500, 0.500)
Tm (0.500, 0.000, 0.000)

## Properties
Crystal system   orthorhombic
Space-group type   Pnnm (58)
Magnetic moment   0.000 μB per formula unit
Theoretical density   6.42 g cm⁻³
Calculated formation energy   0.252 eV per atom

***

No. 10
A plane-wave DFT calculation with PBE-GGA was carried out for crystalline La2TbYTm at its relaxed geometry.

abc: 6.372 7.912 6.840
angles: 90.00 90.00 90.00
Atoms (fractional coordinates):
La (0.250, 0.199, 0.201)
La (0.250, 0.801, 0.201)
La (0.750, 0.199, 0.799)
La (0.750, 0.801, 0.799)
Tb (0.250, 0.000, 0.671)
Tb (0.750, 0.000, 0.329)
Y (0.000, 0.500, 0.500)
Y (0.500, 0.500, 0.500)
Tm (0.250, 0.500, 0.907)
Tm (0.750, 0.500, 0.093)

## Properties
Crystal system   orthorhombic
Space-group type   Pmma (51)
Magnetic moment   0.000 μB per formula unit
Theoretical density   6.69 g cm⁻³
Calculated formation energy   0.255 eV per atom

***

No. 11
A plane-wave DFT calculation with PBE-GGA was carried out for crystalline La4Tb2YTm2 at its relaxed geometry.

abc: 9.599 9.599 8.883
angles: 90.08 90.08 21.84
Atoms (fractional coordinates):
La (0.056, 0.056, 0.170)
La (0.277, 0.277, 0.826)
La (0.723, 0.723, 0.174)
La (0.944, 0.944, 0.830)
Tb (0.388, 0.388, 0.173)
Tb (0.612, 0.612, 0.827)
Y (0.500, 0.500, 0.500)
Tm (0.167, 0.167, 0.502)
Tm (0.833, 0.833, 0.498)

## Properties
Crystal system   monoclinic
Space-group type   C2/m (12)
Magnetic moment   0.000 μB per formula unit
Theoretical density   7.09 g cm⁻³
Calculated formation energy   0.030 eV per atom

***

No. 12
A plane-wave DFT calculation with PBE-GGA was carried out for crystalline LaTbYTm at its relaxed geometry.

abc: 6.858 6.858 3.857
angles: 106.24 106.24 50.40
Atoms (fractional coordinates):
La (0.000, 0.000, 0.000)
Tb (0.737, 0.737, 0.218)
Y (0.262, 0.262, 0.743)
Tm (0.500, 0.500, 0.489)

## Properties
Crystal system   monoclinic
Polymorph energy (0 for the lowest one)   2 meV per atom
Space-group type   Cm (8)
Magnetic moment   0.000 μB per formula unit
Theoretical density   6.94 g cm⁻³
Calculated formation energy   0.104 eV per atom

***

No. 13
A plane-wave DFT calculation with PBE-GGA was carried out for crystalline LaTbY3Tm at its relaxed geometry.

abc: 6.676 6.676 11.420
angles: 90.00 90.00 129.00
Atoms (fractional coordinates):
La (0.025, 0.975, 0.750)
La (0.975, 0.025, 0.250)
Tb (0.500, 0.500, 0.000)
Tb (0.500, 0.500, 0.500)
Y (0.175, 0.825, 0.023)
Y (0.175, 0.825, 0.477)
Y (0.327, 0.673, 0.750)
Y (0.673, 0.327, 0.250)
Y (0.825, 0.175, 0.523)
Y (0.825, 0.175, 0.977)
Tm (0.348, 0.652, 0.250)
Tm (0.652, 0.348, 0.750)

## Properties
Crystal system   orthorhombic
Space-group type   Cmcm (63)
Magnetic moment   0.000 μB per formula unit
Theoretical density   6.16 g cm⁻³
Calculated formation energy   0.108 eV per atom

***

No. 14
A plane-wave DFT calculation with PBE-GGA was carried out for crystalline LaTb2Y6Tm3 at its relaxed geometry.

abc: 6.175 6.175 11.811
angles: 94.99 94.99 119.96
Atoms (fractional coordinates):
La (0.000, 0.000, 0.000)
Tb (0.333, 0.667, 0.000)
Tb (0.667, 0.333, 0.000)
Y (0.085, 0.420, 0.254)
Y (0.249, 0.249, 0.746)
Y (0.420, 0.085, 0.254)
Y (0.580, 0.915, 0.746)
Y (0.751, 0.751, 0.254)
Y (0.915, 0.580, 0.746)
Tm (0.167, 0.833, 0.500)
Tm (0.500, 0.500, 0.500)
Tm (0.833, 0.167, 0.500)

## Properties
Crystal system   monoclinic
Space-group type   C2/m (12)
Magnetic moment   0.000 μB per formula unit
Theoretical density   6.47 g cm⁻³
Calculated formation energy   0.027 eV per atom

***

No. 15
A plane-wave DFT calculation with PBE-GGA was carried out for crystalline La2Tb6YTm3 at its relaxed geometry.

abc: 6.196 6.196 11.850
angles: 95.00 95.00 120.00
Atoms (fractional coordinates):
La (0.167, 0.833, 0.000)
La (0.833, 0.167, 0.000)
Tb (0.081, 0.414, 0.744)
Tb (0.253, 0.253, 0.256)
Tb (0.414, 0.081, 0.744)
Tb (0.586, 0.919, 0.256)
Tb (0.747, 0.747, 0.744)
Tb (0.919, 0.586, 0.256)
Y (0.500, 0.500, 0.000)
Tm (0.000, 0.000, 0.500)
Tm (0.334, 0.666, 0.500)
Tm (0.666, 0.334, 0.500)

## Properties
Crystal system   monoclinic
Space-group type   C2/m (12)
Magnetic moment   0.000 μB per formula unit
Theoretical density   7.82 g cm⁻³
Calculated formation energy   0.025 eV per atom

***

No. 16
A plane-wave DFT calculation with PBE-GGA was carried out for crystalline La6TbYTm2 at its relaxed geometry.

abc: 9.032 9.032 9.798
angles: 94.32 94.32 118.12
Atoms (fractional coordinates):
La (0.005, 0.560, 0.193)
La (0.110, 0.760, 0.551)
La (0.240, 0.890, 0.949)
La (0.295, 0.507, 0.379)
La (0.440, 0.995, 0.307)
La (0.493, 0.705, 0.121)
La (0.507, 0.295, 0.879)
La (0.560, 0.005, 0.693)
La (0.705, 0.493, 0.621)
La (0.760, 0.110, 0.051)
La (0.890, 0.240, 0.449)
La (0.995, 0.440, 0.807)
Tb (0.412, 0.588, 0.750)
Tb (0.588, 0.412, 0.250)
Y (0.026, 0.974, 0.250)
Y (0.974, 0.026, 0.750)
Tm (0.197, 0.293, 0.046)
Tm (0.293, 0.197, 0.546)
Tm (0.707, 0.803, 0.454)
Tm (0.803, 0.707, 0.954)

## Properties
Crystal system   monoclinic
Space-group type   C2/c (15)
Magnetic moment   0.000 μB per formula unit
Theoretical density   6.76 g cm⁻³
Calculated formation energy   0.106 eV per atom

***

No. 17
A plane-wave DFT calculation with PBE-GGA was carried out for crystalline La4Tb2Y2Tm at its relaxed geometry.

abc: 9.625 9.625 8.907
angles: 90.06 90.06 21.84
Atoms (fractional coordinates):
La (0.054, 0.054, 0.326)
La (0.277, 0.277, 0.671)
La (0.723, 0.723, 0.329)
La (0.946, 0.946, 0.674)
Tb (0.389, 0.389, 0.331)
Tb (0.611, 0.611, 0.669)
Y (0.165, 0.165, 0.997)
Y (0.835, 0.835, 0.003)
Tm (0.500, 0.500, 0.000)

## Properties
Crystal system   monoclinic
Space-group type   C2/m (12)
Magnetic moment   0.000 μB per formula unit
Theoretical density   6.60 g cm⁻³
Calculated formation energy   0.028 eV per atom

***

No. 18
A plane-wave DFT calculation with PBE-GGA was carried out for crystalline LaTbTmZn at its relaxed geometry.

abc: 5.418 5.418 5.418
angles: 60.00 60.00 60.00
Atoms (fractional coordinates):
La (0.000, 0.000, 0.000)
Tb (0.500, 0.500, 0.500)
Tm (0.750, 0.750, 0.750)
Zn (0.250, 0.250, 0.250)

## Properties
Crystal system   cubic
Polymorph energy (0 for the lowest one)   171 meV per atom
Space-group type   F-43m (216)
Magnetic moment   0.000 μB per formula unit
Theoretical density   7.86 g cm⁻³
Calculated formation energy   0.015 eV per atom

***

No. 19
A plane-wave DFT calculation with PBE-GGA was carried out for crystalline LaTbTmZn at its relaxed geometry.

abc: 3.587 3.587 8.819
angles: 90.00 90.00 90.00
Atoms (fractional coordinates):
La (0.000, 0.000, 0.000)
Tb (0.500, 0.500, 0.694)
Tm (0.500, 0.500, 0.300)
Zn (0.000, 0.000, 0.490)

## Properties
Crystal system   tetragonal
Polymorph energy (0 for the lowest one)   0 meV per atom
Space-group type   P4mm (99)
Magnetic moment   0.000 μB per formula unit
Theoretical density   7.79 g cm⁻³
Calculated formation energy   -0.156 eV per atom

***

No. 20
A plane-wave DFT calculation with PBE-GGA was carried out for crystalline LaTbW at its relaxed geometry.

abc: 3.345 3.345 14.455
angles: 90.00 90.00 90.00
Atoms (fractional coordinates):
La (0.250, 0.250, 0.100)
La (0.750, 0.750, 0.900)
Tb (0.250, 0.250, 0.686)
Tb (0.750, 0.750, 0.314)
W (0.250, 0.250, 0.455)
W (0.750, 0.750, 0.545)

## Properties
Crystal system   tetragonal
Space-group type   P4/nmm (129)
Magnetic moment   0.000 μB per formula unit
Theoretical density   9.89 g cm⁻³
Calculated formation energy   0.215 eV per atom

***

No. 21
A plane-wave DFT calculation with PBE-GGA was carried out for crystalline La7TbY2 at its relaxed geometry.

abc: 10.555 10.555 3.540
angles: 90.00 90.00 109.18
Atoms (fractional coordinates):
La (0.000, 0.000, 0.000)
La (0.113, 0.374, 0.000)
La (0.178, 0.822, 0.500)
La (0.374, 0.113, 0.000)
La (0.626, 0.887, 0.000)
La (0.822, 0.178, 0.500)
La (0.887, 0.626, 0.000)
Tb (0.500, 0.500, 0.500)
Y (0.334, 0.666, 0.000)
Y (0.666, 0.334, 0.000)

## Properties
Crystal system   orthorhombic
Polymorph energy (0 for the lowest one)   192 meV per atom
Space-group type   Cmmm (65)
Magnetic moment   0.000 μB per formula unit
Theoretical density   5.84 g cm⁻³
Calculated formation energy   0.339 eV per atom

***

No. 22
A plane-wave DFT calculation with PBE-GGA was carried out for crystalline La3Tb8Y2 at its relaxed geometry.

abc: 6.254 8.059 9.534
angles: 65.07 89.98 82.50
Atoms (fractional coordinates):
La (0.000, 0.000, 0.000)
La (0.460, 0.232, 0.847)
La (0.540, 0.768, 0.153)
Tb (0.078, 0.534, 0.311)
Tb (0.153, 0.077, 0.613)
Tb (0.229, 0.615, 0.922)
Tb (0.309, 0.155, 0.234)
Tb (0.691, 0.845, 0.766)
Tb (0.771, 0.385, 0.078)
Tb (0.847, 0.923, 0.387)
Tb (0.922, 0.466, 0.689)
Y (0.383, 0.694, 0.539)
Y (0.617, 0.306, 0.461)

## Properties
Crystal system   triclinic
Polymorph energy (0 for the lowest one)   0 meV per atom
Space-group type   P-1 (2)
Magnetic moment   0.000 μB per formula unit
Theoretical density   7.19 g cm⁻³
Calculated formation energy   0.023 eV per atom